Record 1
Entry from Alexandria via LeMat-Bulk: a relaxed structure of Li2TmMgHg4 (PBE-GGA).

Values from the calculation:
Calculated volume = 168.6 Å³ per cell
DOS at the Fermi energy = 0.456 states/eV per atom
Space-group type = R-3m
Calculated formation energy = -0.3469 eV per atom
Spin magnetization = 0.0 Bohr magnetons per cell

The structure in extended XYZ format:
```
8
Lattice="2.417 1.396 8.333 -2.417 1.396 8.333 0.000 -2.791 8.333" Properties=species:S:1:pos:R:3 pbc="T T T"
Li 0.000 0.000 6.108
Li 0.000 0.000 18.890
Tm 0.000 0.000 0.000
Mg 0.000 0.000 12.499
Hg 0.000 0.000 3.091
Hg 0.000 0.000 9.528
Hg 0.000 0.000 15.470
Hg 0.000 0.000 21.907
```

***

Record 2
Entry from Alexandria via LeMat-Bulk: a relaxed structure of Li2MgHgW (PBE-GGA).

Values from the calculation:
Calculated volume = 132.5 Å³ per cell
DOS at the Fermi energy = 0.658 states/eV per atom
Space-group type = P4/mmm
Calculated formation energy = 1.2215 eV per atom
Spin magnetization = 3.4 Bohr magnetons per cell

The structure in extended XYZ format:
```
5
Lattice="4.985 0.000 0.000 0.000 4.985 0.000 0.000 0.000 5.333" Properties=species:S:1:pos:R:3 pbc="T T T"
Li 0.000 2.493 0.000
Li 2.493 0.000 0.000
Mg 0.000 0.000 2.666
Hg 2.493 2.493 2.666
W 2.493 2.493 0.000
```

***

Record 3
Entry from Alexandria via LeMat-Bulk: a relaxed structure of LiYMg2Hg4 (PBE-GGA).

Values from the calculation:
Calculated volume = 174.4 Å³ per cell
DOS at the Fermi energy = 0.375 states/eV per atom
Space-group type = R-3m
Calculated formation energy = -0.3668 eV per atom
Spin magnetization = 0.0 Bohr magnetons per cell

The structure in extended XYZ format:
```
8
Lattice="2.450 1.415 8.386 -2.450 1.415 8.386 0.000 -2.829 8.386" Properties=species:S:1:pos:R:3 pbc="T T T"
Li 0.000 0.000 0.000
Y 0.000 0.000 12.579
Mg 0.000 0.000 6.364
Mg 0.000 0.000 18.794
Hg 0.000 0.000 2.937
Hg 0.000 0.000 9.339
Hg 0.000 0.000 15.819
Hg 0.000 0.000 22.221
```

***

Record 4
Entry from Alexandria via LeMat-Bulk: a relaxed structure of LiYMgHg2 (PBE-GGA).

Values from the calculation:
Calculated volume = 111.1 Å³ per cell
DOS at the Fermi energy = 0.595 states/eV per atom
E above lowest polymorph = 162 meV/atom
Space-group type = P4/mmm
Calculated formation energy = -0.1125 eV per atom
Spin magnetization = 0.0 Bohr magnetons per cell

The structure in extended XYZ format:
```
5
Lattice="4.842 0.000 0.000 0.000 4.842 0.000 0.000 0.000 4.741" Properties=species:S:1:pos:R:3 pbc="T T T"
Li 0.000 0.000 0.000
Y 2.421 2.421 2.371
Mg 0.000 0.000 2.371
Hg 0.000 2.421 0.000
Hg 2.421 0.000 0.000
```

***

Record 5
Entry from Alexandria via LeMat-Bulk: a relaxed structure of LiYMgHg2 (PBE-GGA).

Values from the calculation:
Calculated volume = 123.5 Å³ per cell
DOS at the Fermi energy = 0.358 states/eV per atom
E above lowest polymorph = 0 meV/atom
Space-group type = P3m1
Calculated formation energy = -0.2749 eV per atom
Spin magnetization = 0.0 Bohr magnetons per cell

The structure in extended XYZ format:
```
5
Lattice="5.011 0.000 0.000 -2.506 4.340 0.000 0.000 0.000 5.676" Properties=species:S:1:pos:R:3 pbc="T T T"
Li 0.000 0.000 0.000
Y 0.000 2.893 3.659
Mg 2.506 1.447 1.710
Hg 0.000 0.000 2.697
Hg 2.506 1.447 4.654
```

***

Record 6
Entry from Alexandria via LeMat-Bulk: a relaxed structure of LiY2MgHg4 (PBE-GGA).

Values from the calculation:
Calculated volume = 182.4 Å³ per cell
DOS at the Fermi energy = 0.361 states/eV per atom
Space-group type = R-3m
Calculated formation energy = -0.4678 eV per atom
Spin magnetization = 0.0 Bohr magnetons per cell

The structure in extended XYZ format:
```
8
Lattice="2.526 1.458 8.255 -2.526 1.458 8.255 0.000 -2.916 8.255" Properties=species:S:1:pos:R:3 pbc="T T T"
Li 0.000 0.000 0.000
Y 0.000 0.000 6.173
Y 0.000 0.000 18.591
Mg 0.000 0.000 12.382
Hg 0.000 0.000 3.031
Hg 0.000 0.000 9.239
Hg 0.000 0.000 15.525
Hg 0.000 0.000 21.733
```

***

Record 7
Entry from Alexandria via LeMat-Bulk: a relaxed structure of LiY2MgHg (PBE-GGA).

Values from the calculation:
Calculated volume = 156.6 Å³ per cell
DOS at the Fermi energy = 1.441 states/eV per atom
Space-group type = P4/mmm
Calculated formation energy = 0.1720 eV per atom
Spin magnetization = 0.0 Bohr magnetons per cell

The structure in extended XYZ format:
```
5
Lattice="5.745 0.000 0.000 0.000 5.745 0.000 0.000 0.000 4.746" Properties=species:S:1:pos:R:3 pbc="T T T"
Li 0.000 0.000 0.000
Y 0.000 2.873 2.373
Y 2.873 0.000 2.373
Mg 2.873 2.873 0.000
Hg 0.000 0.000 2.373
```

***

Record 8
Entry from Alexandria via LeMat-Bulk: a relaxed structure of Li4Mg3Zn2Hg2 (PBE-GGA).

Values from the calculation:
Calculated volume = 215.0 Å³ per cell
DOS at the Fermi energy = 0.308 states/eV per atom
Space-group type = I4/mmm
Calculated formation energy = -0.1436 eV per atom
Spin magnetization = 0.0 Bohr magnetons per cell

The structure in extended XYZ format:
```
11
Lattice="-2.013 2.013 13.268 2.013 -2.013 13.268 2.013 2.013 -13.268" Properties=species:S:1:pos:R:3 pbc="T T T"
Li 2.013 0.000 2.906
Li 2.013 0.000 10.362
Li 0.000 2.013 2.906
Li 0.000 2.013 10.362
Mg 0.000 0.000 0.000
Mg 0.000 0.000 5.551
Mg 0.000 0.000 20.985
Zn 0.000 0.000 12.059
Zn 0.000 0.000 14.478
Hg 0.000 0.000 8.447
Hg 0.000 0.000 18.089
```

***

Record 9
Entry from Alexandria via LeMat-Bulk: a relaxed structure of Li5Mg2ZnHg2 (PBE-GGA).

Values from the calculation:
Calculated volume = 388.3 Å³ per cell
DOS at the Fermi energy = 0.440 states/eV per atom
Space-group type = P4/mbm
Calculated formation energy = -0.1578 eV per atom
Spin magnetization = 0.0 Bohr magnetons per cell

The structure in extended XYZ format:
```
20
Lattice="10.698 0.000 0.000 0.000 10.698 0.000 0.000 0.000 3.392" Properties=species:S:1:pos:R:3 pbc="T T T"
Li 0.000 5.349 0.000
Li 0.574 2.001 0.000
Li 2.001 10.124 0.000
Li 3.348 4.775 0.000
Li 4.775 7.350 0.000
Li 5.349 0.000 0.000
Li 5.923 3.348 0.000
Li 7.350 5.923 0.000
Li 8.697 0.574 0.000
Li 10.124 8.697 0.000
Mg 1.824 7.173 1.696
Mg 3.525 1.824 1.696
Mg 7.173 8.874 1.696
Mg 8.874 3.525 1.696
Zn 0.000 0.000 1.696
Zn 5.349 5.349 1.696
Hg 1.448 3.901 1.696
Hg 3.901 9.250 1.696
Hg 6.797 1.448 1.696
Hg 9.250 6.797 1.696
```

***

Record 10
Entry from Alexandria via LeMat-Bulk: a relaxed structure of LiMn2Hg (PBE-GGA).

Values from the calculation:
Calculated volume = 64.1 Å³ per cell
DOS at the Fermi energy = 0.887 states/eV per atom
Space-group type = I4/mmm
Calculated formation energy = 0.2669 eV per atom
Spin magnetization = 7.3 Bohr magnetons per cell

The structure in extended XYZ format:
```
4
Lattice="-1.959 1.959 4.174 1.959 -1.959 4.174 1.959 1.959 -4.174" Properties=species:S:1:pos:R:3 pbc="T T T"
Li 0.000 0.000 0.000
Mn 1.959 0.000 2.087
Mn 0.000 1.959 2.087
Hg 0.000 0.000 4.174
```

***

Record 11
Entry from Alexandria via LeMat-Bulk: a relaxed structure of LiMn2Hg (PBE-GGA).

Values from the calculation:
Calculated volume = 65.6 Å³ per cell
DOS at the Fermi energy = 0.835 states/eV per atom
Space-group type = C2/m
Calculated formation energy = 0.2949 eV per atom
Spin magnetization = 7.3 Bohr magnetons per cell

The structure in extended XYZ format:
```
4
Lattice="4.824 -1.479 0.000 4.824 1.479 0.000 -1.013 0.000 4.595" Properties=species:S:1:pos:R:3 pbc="T T T"
Li 0.000 0.000 0.000
Mn 1.631 0.000 3.462
Mn 7.004 0.000 1.133
Hg 4.318 0.000 2.297
```

***

Record 12
Entry from Alexandria via LeMat-Bulk: a relaxed structure of LiMn2Hg (PBE-GGA).

Values from the calculation:
Calculated volume = 62.6 Å³ per cell
DOS at the Fermi energy = 0.876 states/eV per atom
Space-group type = I-4m2
Calculated formation energy = 0.1662 eV per atom
Spin magnetization = 0.1 Bohr magnetons per cell

The structure in extended XYZ format:
```
4
Lattice="-2.239 2.239 3.125 2.239 -2.239 3.125 2.239 2.239 -3.125" Properties=species:S:1:pos:R:3 pbc="T T T"
Li 0.000 0.000 0.000
Mn 2.239 0.000 1.562
Mn 0.000 0.000 3.125
Hg 0.000 2.239 1.562
```